1.
Density functional theory data (PBE-GGA) for a relaxed structure of Hf3Cu8.

ΔE_f, eV per formula unit: -1.8
Space-group type: Pnma
Size of the total moment, μB/f.u.: 0.0
E_tot, eV per atom: -5.58

a = 7.796 Å, b = 8.088 Å, c = 9.923 Å
α = 90.00°, β = 90.00°, γ = 90.00°
Sites, in units of the cell vectors:
Hf1 0.040 0.250 0.047
Hf2 0.063 0.554 0.640
Hf3 0.063 0.946 0.640
Hf4 0.437 0.054 0.140
Hf5 0.437 0.446 0.140
Hf6 0.460 0.750 0.547
Hf7 0.540 0.250 0.453
Hf8 0.563 0.554 0.860
Hf9 0.563 0.946 0.860
Hf10 0.937 0.054 0.360
Hf11 0.937 0.446 0.360
Hf12 0.960 0.750 0.953
Cu1 0.116 0.750 0.404
Cu2 0.121 0.576 0.160
Cu3 0.121 0.924 0.160
Cu4 0.130 0.250 0.765
Cu5 0.177 0.250 0.517
Cu6 0.199 0.501 0.907
Cu7 0.199 0.999 0.907
Cu8 0.215 0.250 0.273
Cu9 0.285 0.750 0.773
Cu10 0.301 0.001 0.407
Cu11 0.301 0.499 0.407
Cu12 0.323 0.750 0.017
Cu13 0.370 0.750 0.265
Cu14 0.379 0.076 0.660
Cu15 0.379 0.424 0.660
Cu16 0.384 0.250 0.904
Cu17 0.616 0.750 0.096
Cu18 0.621 0.576 0.340
Cu19 0.621 0.924 0.340
Cu20 0.630 0.250 0.735
Cu21 0.677 0.250 0.983
Cu22 0.699 0.501 0.593
Cu23 0.699 0.999 0.593
Cu24 0.715 0.250 0.227
Cu25 0.785 0.750 0.727
Cu26 0.801 0.001 0.093
Cu27 0.801 0.499 0.093
Cu28 0.823 0.750 0.483
Cu29 0.870 0.750 0.235
Cu30 0.879 0.076 0.840
Cu31 0.879 0.424 0.840
Cu32 0.884 0.250 0.596



2.
Density functional theory data (PBE-GGA) for a relaxed structure of RbHoO3.

Space-group type: P4mm
Size of the total moment, μB/f.u.: 2.0
E_tot, eV per atom: -5.96

a = 4.406 Å, b = 4.406 Å, c = 4.462 Å
α = 90.00°, β = 90.00°, γ = 90.00°
Sites, in units of the cell vectors:
Rb1 0.000 0.000 0.000
Ho1 0.500 0.500 0.497
O1 0.000 0.500 0.500
O2 0.500 0.000 0.500
O3 0.500 0.500 0.998



3.
Density functional theory data (PBE-GGA) for a relaxed structure of HoGeNO.

Space-group type: Pca2_1
Size of the total moment, μB/f.u.: 0.0
E_tot, eV per atom: -7.31

a = 5.449 Å, b = 8.089 Å, c = 5.289 Å
α = 90.00°, β = 90.00°, γ = 90.00°
Sites, in units of the cell vectors:
Ho1 0.012 0.136 0.000
Ho2 0.488 0.136 0.500
Ho3 0.512 0.864 0.000
Ho4 0.988 0.864 0.500
Ge1 0.043 0.613 0.996
Ge2 0.457 0.613 0.496
Ge3 0.543 0.387 0.996
Ge4 0.957 0.387 0.496
N1 0.109 0.591 0.617
N2 0.391 0.591 0.117
N3 0.609 0.409 0.617
N4 0.891 0.409 0.117
O1 0.247 0.990 0.248
O2 0.253 0.990 0.748
O3 0.747 0.010 0.248
O4 0.753 0.010 0.748



4.
Density functional theory data (PBE-GGA) for a relaxed structure of Dy2Er2Lu3Te2Ir2.

Space-group type: Imm2
Size of the total moment, μB/f.u.: 0.0
E_tot, eV per atom: -5.99

a = 9.302 Å, b = 9.302 Å, c = 9.302 Å
α = 155.79°, β = 66.49°, γ = 119.14°
Sites, in units of the cell vectors:
Dy1 0.184 0.000 0.184
Dy2 0.816 0.000 0.816
Er1 0.579 0.210 0.369
Er2 0.841 0.210 0.631
Lu1 0.130 0.630 0.500
Lu2 0.212 0.358 0.854
Lu3 0.504 0.358 0.146
Te1 0.464 0.964 0.500
Te2 0.864 0.864 0.000
Ir1 0.439 0.702 0.737
Ir2 0.965 0.702 0.263



5.
Density functional theory data (PBE-GGA) for a relaxed structure of Fe2BPt.

Space-group type: F-43m
Size of the total moment, μB/f.u.: 4.9
E_tot, eV per atom: -7.13

a = 3.968 Å, b = 3.968 Å, c = 3.968 Å
α = 60.00°, β = 60.00°, γ = 60.00°
Sites, in units of the cell vectors:
Fe1 0.000 0.000 0.000
Fe2 0.250 0.250 0.250
B1 0.500 0.500 0.500
Pt1 0.750 0.750 0.750



6.
Density functional theory data (PBE-GGA) for a relaxed structure of TmGe2Os.

Space-group type: Pbam
Size of the total moment, μB/f.u.: 0.0
E_tot, eV per atom: -6.77

a = 9.600 Å, b = 10.583 Å, c = 8.336 Å
α = 90.00°, β = 90.00°, γ = 90.00°
Sites, in units of the cell vectors:
Tm1 0.164 0.177 0.000
Tm2 0.178 0.449 0.249
Tm3 0.178 0.449 0.751
Tm4 0.322 0.949 0.249
Tm5 0.322 0.949 0.751
Tm6 0.336 0.677 0.000
Tm7 0.664 0.323 0.000
Tm8 0.678 0.051 0.249
Tm9 0.678 0.051 0.751
Tm10 0.822 0.551 0.249
Tm11 0.822 0.551 0.751
Tm12 0.836 0.823 0.000
Ge1 0.038 0.616 0.000
Ge2 0.044 0.616 0.500
Ge3 0.124 0.899 0.500
Ge4 0.131 0.897 0.000
Ge5 0.160 0.179 0.348
Ge6 0.160 0.179 0.652
Ge7 0.340 0.679 0.348
Ge8 0.340 0.679 0.652
Ge9 0.369 0.397 0.000
Ge10 0.376 0.399 0.500
Ge11 0.456 0.116 0.500
Ge12 0.462 0.116 0.000
Ge13 0.538 0.884 0.000
Ge14 0.544 0.884 0.500
Ge15 0.624 0.601 0.500
Ge16 0.631 0.603 0.000
Ge17 0.660 0.321 0.348
Ge18 0.660 0.321 0.652
Ge19 0.840 0.821 0.348
Ge20 0.840 0.821 0.652
Ge21 0.869 0.103 0.000
Ge22 0.876 0.101 0.500
Ge23 0.956 0.384 0.500
Ge24 0.962 0.384 0.000
Os1 0.000 0.000 0.249
Os2 0.000 0.000 0.751
Os3 0.085 0.736 0.250
Os4 0.085 0.736 0.750
Os5 0.415 0.236 0.250
Os6 0.415 0.236 0.750
Os7 0.500 0.500 0.249
Os8 0.500 0.500 0.751
Os9 0.585 0.764 0.250
Os10 0.585 0.764 0.750
Os11 0.915 0.264 0.250
Os12 0.915 0.264 0.750



7.
Density functional theory data (PBE-GGA) for a relaxed structure of Sc2SnMo.

Space-group type: F-43m
Size of the total moment, μB/f.u.: 1.9
E_tot, eV per atom: -6.97

a = 4.798 Å, b = 4.798 Å, c = 4.798 Å
α = 60.00°, β = 60.00°, γ = 60.00°
Sites, in units of the cell vectors:
Sc1 0.000 0.000 0.000
Sc2 0.250 0.250 0.250
Sn1 0.500 0.500 0.500
Mo1 0.750 0.750 0.750



8.
Density functional theory data (PBE-GGA) for a relaxed structure of MgScHg2.

Space-group type: Amm2
Size of the total moment, μB/f.u.: 0.0
E_tot, eV per atom: -2.38

a = 4.850 Å, b = 6.397 Å, c = 6.397 Å
α = 59.19°, β = 90.00°, γ = 90.00°
Sites, in units of the cell vectors:
Mg1 0.000 0.240 0.760
Mg2 0.000 0.760 0.240
Sc1 0.000 0.252 0.252
Sc2 0.500 0.602 0.602
Hg1 0.000 0.743 0.743
Hg2 0.500 0.093 0.093
Hg3 0.500 0.108 0.592
Hg4 0.500 0.592 0.108



9.
Density functional theory data (PBE-GGA) for a relaxed structure of K3MoSe4.

Space-group type: R3c
Size of the total moment, μB/f.u.: 1.0
E_tot, eV per atom: -4.39

a = 8.084 Å, b = 8.084 Å, c = 8.084 Å
α = 93.19°, β = 93.19°, γ = 93.19°
Sites, in units of the cell vectors:
K1 0.127 0.214 0.659
K2 0.159 0.714 0.627
K3 0.214 0.659 0.127
K4 0.627 0.159 0.714
K5 0.659 0.127 0.214
K6 0.714 0.627 0.159
Mo1 0.156 0.156 0.156
Mo2 0.656 0.656 0.656
Se1 0.018 0.959 0.319
Se2 0.319 0.018 0.959
Se3 0.335 0.335 0.335
Se4 0.459 0.518 0.819
Se5 0.518 0.819 0.459
Se6 0.819 0.459 0.518
Se7 0.835 0.835 0.835
Se8 0.959 0.319 0.018



10.
Density functional theory data (PBE-GGA) for a relaxed structure of CoGe2Ir.

Space-group type: F-43m
Size of the total moment, μB/f.u.: 0.9
E_tot, eV per atom: -6.04

a = 4.351 Å, b = 4.351 Å, c = 4.351 Å
α = 60.00°, β = 60.00°, γ = 60.00°
Sites, in units of the cell vectors:
Co1 0.000 0.000 0.000
Ge1 0.250 0.250 0.250
Ge2 0.500 0.500 0.500
Ir1 0.750 0.750 0.750



11.
Density functional theory data (PBE-GGA) for a relaxed structure of PmDy5Se6.

Space-group type: C2/m
Size of the total moment, μB/f.u.: 0.0
E_tot, eV per atom: -5.82

a = 7.089 Å, b = 7.089 Å, c = 7.064 Å
α = 99.62°, β = 99.62°, γ = 120.08°
Sites, in units of the cell vectors:
Pm1 0.000 0.000 0.000
Dy1 0.161 0.839 0.500
Dy2 0.335 0.665 0.000
Dy3 0.500 0.500 0.500
Dy4 0.665 0.335 0.000
Dy5 0.839 0.161 0.500
Se1 0.084 0.426 0.255
Se2 0.257 0.257 0.749
Se3 0.426 0.084 0.255
Se4 0.574 0.916 0.745
Se5 0.743 0.743 0.251
Se6 0.916 0.574 0.745



12.
Density functional theory data (PBE-GGA) for a relaxed structure of ZnTcPb.

Space-group type: F-43m
Size of the total moment, μB/f.u.: 0.3
E_tot, eV per atom: -4.44

a = 4.474 Å, b = 4.474 Å, c = 4.474 Å
α = 60.00°, β = 60.00°, γ = 60.00°
Sites, in units of the cell vectors:
Zn1 0.000 0.000 0.000
Tc1 0.750 0.750 0.750
Pb1 0.500 0.500 0.500



13.
Density functional theory data (PBE-GGA) for a relaxed structure of WSe2S2Br.

Space-group type: P-1
Size of the total moment, μB/f.u.: 0.0
E_tot, eV per atom: -5.35

a = 6.247 Å, b = 7.865 Å, c = 8.147 Å
α = 117.69°, β = 106.21°, γ = 96.20°
Sites, in units of the cell vectors:
W1 0.223 0.000 0.000
W2 0.777 0.000 0.000
Se1 0.126 0.314 0.229
Se2 0.386 0.932 0.711
Se3 0.614 0.068 0.289
Se4 0.874 0.686 0.771
S1 0.028 0.842 0.133
S2 0.472 0.772 0.010
S3 0.528 0.228 0.990
S4 0.972 0.158 0.867
Br1 0.266 0.368 0.591
Br2 0.734 0.632 0.409



14.
Density functional theory data (PBE-GGA) for a relaxed structure of BaAl3Ag2.

Space-group type: P6/mmm
E_tot, eV per atom: -3.38

a = 5.805 Å, b = 5.805 Å, c = 4.483 Å
α = 90.00°, β = 90.00°, γ = 120.00°
Sites, in units of the cell vectors:
Ba1 0.000 0.000 0.000
Al1 0.000 0.500 0.500
Al2 0.500 0.000 0.500
Al3 0.500 0.500 0.500
Ag1 0.333 0.667 0.000
Ag2 0.667 0.333 0.000



15.
Density functional theory data (PBE-GGA) for a relaxed structure of Y2ZrCo2.

ΔE_f, eV per formula unit: 2.9
Space-group type: I4/mmm
Size of the total moment, μB/f.u.: 1.6
E_tot, eV per atom: -6.55

a = 6.436 Å, b = 6.436 Å, c = 6.436 Å
α = 140.92°, β = 140.92°, γ = 56.45°
Sites, in units of the cell vectors:
Y1 0.128 0.128 0.000
Y2 0.872 0.872 0.000
Zr1 0.500 0.500 0.000
Co1 0.250 0.750 0.500
Co2 0.750 0.250 0.500



16.
Density functional theory data (PBE-GGA) for a relaxed structure of YHoC2Cl2.

Space-group type: Cm
Size of the total moment, μB/f.u.: 0.0
E_tot, eV per atom: -6.78

a = 3.920 Å, b = 3.920 Å, c = 10.682 Å
α = 94.84°, β = 94.84°, γ = 56.67°
Sites, in units of the cell vectors:
Y1 0.000 0.000 0.000
Ho1 0.291 0.291 0.278
C1 0.573 0.573 0.177
C2 0.719 0.719 0.104
Cl1 0.324 0.324 0.839
Cl2 0.965 0.965 0.437



17.
Density functional theory data (PBE-GGA) for a relaxed structure of ZnSn2HgSb4.

Space-group type: I-4
E_tot, eV per atom: -3.27

a = 7.969 Å, b = 7.969 Å, c = 7.969 Å
α = 131.83°, β = 131.83°, γ = 70.50°
Sites, in units of the cell vectors:
Zn1 0.000 0.000 0.000
Sn1 0.250 0.750 0.500
Sn2 0.500 0.500 0.000
Hg1 0.750 0.250 0.500
Sb1 0.115 0.640 0.996
Sb2 0.360 0.356 0.475
Sb3 0.644 0.119 0.004
Sb4 0.881 0.885 0.525



18.
Density functional theory data (PBE-GGA) for a relaxed structure of Tm3Lu4Ni2Te2.

Space-group type: Imm2
Size of the total moment, μB/f.u.: 0.0
E_tot, eV per atom: -5.13

a = 9.175 Å, b = 9.175 Å, c = 9.175 Å
α = 156.09°, β = 67.21°, γ = 118.24°
Sites, in units of the cell vectors:
Tm1 0.000 0.000 0.000
Tm2 0.624 0.270 0.353
Tm3 0.917 0.270 0.647
Lu1 0.283 0.418 0.865
Lu2 0.308 0.624 0.685
Lu3 0.553 0.418 0.135
Lu4 0.939 0.624 0.315
Ni1 0.168 0.931 0.237
Ni2 0.694 0.931 0.763
Te1 0.267 0.767 0.500
Te2 0.659 0.659 0.000



19.
Density functional theory data (PBE-GGA) for a relaxed structure of PrBPd.

Space-group type: F-43m
Size of the total moment, μB/f.u.: 0.6
E_tot, eV per atom: -5.16

a = 4.472 Å, b = 4.472 Å, c = 4.472 Å
α = 60.00°, β = 60.00°, γ = 60.00°
Sites, in units of the cell vectors:
Pr1 0.000 0.000 0.000
B1 0.500 0.500 0.500
Pd1 0.750 0.750 0.750



20.
Density functional theory data (PBE-GGA) for a relaxed structure of Zn2FeCo.

ΔE_f, eV per formula unit: 0.3
Space-group type: Fm-3m
Size of the total moment, μB/f.u.: 3.1
E_tot, eV per atom: -4.41

a = 4.101 Å, b = 4.101 Å, c = 4.101 Å
α = 60.00°, β = 60.00°, γ = 60.00°
Sites, in units of the cell vectors:
Zn1 0.250 0.250 0.250
Zn2 0.750 0.750 0.750
Fe1 0.000 0.000 0.000
Co1 0.500 0.500 0.500



21.
Density functional theory data (PBE-GGA) for a relaxed structure of K2ZrSeS2.

Space-group type: C2/c
Size of the total moment, μB/f.u.: 0.0
E_tot, eV per atom: -5.19

a = 7.481 Å, b = 7.481 Å, c = 6.890 Å
α = 92.89°, β = 92.89°, γ = 71.06°
Sites, in units of the cell vectors:
K1 0.005 0.662 0.777
K2 0.338 0.995 0.723
K3 0.662 0.005 0.277
K4 0.995 0.338 0.223
Zr1 0.416 0.584 0.250
Zr2 0.584 0.416 0.750
Se1 0.131 0.869 0.250
Se2 0.869 0.131 0.750
S1 0.347 0.369 0.495
S2 0.369 0.347 0.995
S3 0.631 0.653 0.005
S4 0.653 0.631 0.505